Crystalline Na2PbAu3 at its relaxed geometry. Source: the Alexandria database, functional PBE.

Cell lengths 10.1172, 9.2682, 5.8119 Å; angles 80.75, 64.71, 34.54 degrees
Fractional coordinates of all 12 atoms:
Na 0.2420 0.7580 0.7580
Na 0.2500 0.2500 0.2500
Na 0.7500 0.7500 0.7500
Na 0.7580 0.2420 0.2420
Pb 0.3351 0.3351 0.6649
Pb 0.6649 0.6649 0.3351
Au 0.1646 0.1646 0.8354
Au 0.1665 0.6695 0.3305
Au 0.3305 0.8335 0.1665
Au 0.6695 0.1665 0.8335
Au 0.8335 0.3305 0.6695
Au 0.8354 0.8354 0.1646

Summary:
- SG = Fmmm (69)
- raw total energy (eV/atom) = -2.92
- D(E_F) (states/eV per atom) = 0.36
- energy of formation (eV per atom) = -0.22

***

Crystalline MnRu2 at its relaxed geometry. Source: the Alexandria database, functional PBE.

Cell lengths 4.6112, 4.6112, 4.6112 Å; angles 146.19, 132.43, 59.63 degrees
Fractional coordinates of all 3 atoms:
Mn 0.0000 0.0000 0.0000
Ru 0.3353 0.3353 0.0000
Ru 0.6647 0.6647 0.0000

Summary:
- SG = Immm (71)
- raw total energy (eV/atom) = -9.13
- D(E_F) (states/eV per atom) = 1.38
- energy of formation (eV per atom) = 0.11

***

Crystalline Rb2IrBrCl6 at its relaxed geometry. Source: the Alexandria database, functional PBE.

Cell lengths 7.7546, 7.7546, 7.7546 Å; angles 120.52, 120.52, 89.10 degrees
Fractional coordinates of all 10 atoms:
Rb 0.2500 0.7500 0.5000
Rb 0.7500 0.2500 0.5000
Ir 0.0000 0.0000 0.0000
Br 0.5000 0.5000 0.0000
Cl 0.2119 0.2119 0.0000
Cl 0.2155 0.2155 0.4310
Cl 0.2155 0.7845 0.0000
Cl 0.7845 0.2155 0.0000
Cl 0.7845 0.7845 0.5690
Cl 0.7881 0.7881 0.0000

Summary:
- E_form (uncorrected) (eV/atom) = -0.92
- SG = I4/mmm (139)
- raw total energy (eV/atom) = -3.28
- D(E_F) (states/eV per atom) = 1.30

***

Crystalline LaHf2In2 at its relaxed geometry. Source: the Alexandria database, functional PBE.

Cell lengths 8.6227, 8.6227, 3.3646 Å; angles 90.00, 90.00, 90.00 degrees
Fractional coordinates of all 10 atoms:
La 0.0000 0.0000 0.0000
La 0.5000 0.5000 0.0000
Hf 0.1724 0.3276 0.5000
Hf 0.3276 0.8276 0.5000
Hf 0.6724 0.1724 0.5000
Hf 0.8276 0.6724 0.5000
In 0.1247 0.6247 0.0000
In 0.3753 0.1247 0.0000
In 0.6247 0.8753 0.0000
In 0.8753 0.3753 0.0000

Summary:
- SG = P4/mbm (127)
- raw total energy (eV/atom) = -6.14
- D(E_F) (states/eV per atom) = 0.85
- relative energy among the computed polymorphs (kJ/mol of formula units) = 23.0
- energy of formation (eV per atom) = -0.08

***

Crystalline LaY2Os at its relaxed geometry. Source: the Alexandria database, functional PBE.

Cell lengths 7.0592, 7.0592, 7.0592 Å; angles 100.59, 100.59, 129.23 degrees
Fractional coordinates of all 8 atoms:
La 0.0000 0.0000 0.0000
La 0.7500 0.2500 0.5000
Y 0.2212 0.6250 0.0962
Y 0.3750 0.4712 0.5962
Y 0.5288 0.1250 0.9038
Y 0.8750 0.7788 0.4038
Os 0.2500 0.7500 0.5000
Os 0.5000 0.5000 0.0000

Summary:
- SG = I-42d (122)
- raw total energy (eV/atom) = -7.13
- D(E_F) (states/eV per atom) = 1.41
- relative energy among the computed polymorphs (kJ/mol of formula units) = 134.9
- energy of formation (eV per atom) = 0.14

***

Crystalline Nb3BPd at its relaxed geometry. Source: the Alexandria database, functional PBE.

Cell lengths 4.7984, 4.7984, 4.7984 Å; angles 90.00, 90.00, 90.00 degrees
Fractional coordinates of all 5 atoms:
Nb 0.0000 0.0000 0.5000
Nb 0.0000 0.5000 0.0000
Nb 0.5000 0.0000 0.0000
B 0.5000 0.5000 0.5000
Pd 0.0000 0.0000 0.0000

Summary:
- SG = Pm-3m (221)
- raw total energy (eV/atom) = -6.37
- D(E_F) (states/eV per atom) = 0.99
- relative energy among the computed polymorphs (kJ/mol of formula units) = 1003.4
- energy of formation (eV per atom) = 2.05

***

Crystalline La3Th2NpN6 at its relaxed geometry. Source: the Alexandria database, functional PBE.

Cell lengths 6.3212, 6.3212, 6.3623 Å; angles 99.58, 99.58, 119.94 degrees
Fractional coordinates of all 12 atoms:
La 0.0000 0.0000 0.0000
La 0.3349 0.6651 0.0000
La 0.6651 0.3349 0.0000
Th 0.1664 0.8336 0.5000
Th 0.8336 0.1664 0.5000
Np 0.5000 0.5000 0.5000
N 0.1172 0.4288 0.2870
N 0.2564 0.2564 0.7207
N 0.4288 0.1172 0.2870
N 0.5712 0.8828 0.7130
N 0.7436 0.7436 0.2793
N 0.8828 0.5712 0.7130

Summary:
- E_form (uncorrected) (eV/atom) = -1.40
- SG = C2/m (12)
- raw total energy (eV/atom) = -9.11
- D(E_F) (states/eV per atom) = 0.92

***

Crystalline LaAl2Zn4Cu at its relaxed geometry. Source: the Alexandria database, functional PBE.

Cell lengths 9.1859, 9.1859, 9.1859 Å; angles 27.30, 27.30, 27.30 degrees
Fractional coordinates of all 8 atoms:
La 0.0000 0.0000 0.0000
Al 0.2422 0.2422 0.2422
Al 0.7578 0.7578 0.7578
Zn 0.1339 0.1339 0.1339
Zn 0.4043 0.4043 0.4043
Zn 0.5957 0.5957 0.5957
Zn 0.8661 0.8661 0.8661
Cu 0.5000 0.5000 0.5000

Summary:
- SG = R-3m (166)
- raw total energy (eV/atom) = -2.89
- D(E_F) (states/eV per atom) = 0.44
- energy of formation (eV per atom) = -0.19

***

Crystalline TbNdGeAu at its relaxed geometry. Source: the Alexandria database, functional PBE.

Cell lengths 5.1747, 5.1747, 5.1747 Å; angles 60.00, 60.00, 60.00 degrees
Fractional coordinates of all 4 atoms:
Tb 0.0000 0.0000 0.0000
Nd 0.5000 0.5000 0.5000
Ge 0.7500 0.7500 0.7500
Au 0.2500 0.2500 0.2500

Summary:
- SG = F-43m (216)
- raw total energy (eV/atom) = -5.05
- D(E_F) (states/eV per atom) = 0.87
- relative energy among the computed polymorphs (kJ/mol of formula units) = 33.7
- energy of formation (eV per atom) = -0.73

***

Crystalline La3B2N5 at its relaxed geometry. Source: the Alexandria database, functional PBE.

Cell lengths 9.6961, 14.8341, 7.6611 Å; angles 90.00, 90.04, 90.00 degrees
Fractional coordinates of all 80 atoms:
La 0.0039 0.1097 0.3765
La 0.0039 0.3903 0.8765
La 0.0106 0.1116 0.8704
La 0.0106 0.3884 0.3704
La 0.2982 0.1933 0.6217
La 0.2982 0.3067 0.1217
La 0.3175 0.5341 0.3617
La 0.3175 0.9659 0.8617
La 0.3258 0.5306 0.8827
La 0.3258 0.9694 0.3827
La 0.3273 0.7468 0.6233
La 0.3273 0.7532 0.1233
La 0.6727 0.2468 0.8767
La 0.6727 0.2532 0.3767
La 0.6742 0.0306 0.6173
La 0.6742 0.4694 0.1173
La 0.6825 0.0341 0.1383
La 0.6825 0.4659 0.6383
La 0.7018 0.6933 0.8783
La 0.7018 0.8067 0.3783
La 0.9894 0.6116 0.6296
La 0.9894 0.8884 0.1296
La 0.9961 0.6097 0.1235
La 0.9961 0.8903 0.6235
B 0.0943 0.7478 0.8757
B 0.0943 0.7522 0.3757
B 0.2296 0.1056 0.1242
B 0.2296 0.3944 0.6242
B 0.4394 0.1422 0.9652
B 0.4394 0.3578 0.4652
B 0.4407 0.1459 0.2787
B 0.4407 0.3541 0.7787
B 0.5593 0.6459 0.2213
B 0.5593 0.8541 0.7213
B 0.5606 0.6422 0.5348
B 0.5606 0.8578 0.0348
B 0.7704 0.6056 0.3758
B 0.7704 0.8944 0.8758
B 0.9057 0.2478 0.6243
B 0.9057 0.2522 0.1243
N 0.0555 0.2348 0.6227
N 0.0555 0.2652 0.1227
N 0.1369 0.0291 0.1245
N 0.1369 0.4709 0.6245
N 0.1571 0.0201 0.6318
N 0.1571 0.4799 0.1318
N 0.1609 0.6620 0.3787
N 0.1609 0.8380 0.8787
N 0.1854 0.6674 0.8717
N 0.1854 0.8326 0.3717
N 0.2862 0.1383 0.9541
N 0.2862 0.3617 0.4541
N 0.2876 0.1405 0.2915
N 0.2876 0.3595 0.7915
N 0.4724 0.6089 0.0897
N 0.4724 0.8911 0.5897
N 0.4753 0.6015 0.6640
N 0.4753 0.8985 0.1640
N 0.4937 0.6858 0.3796
N 0.4937 0.8142 0.8796
N 0.5063 0.1858 0.1204
N 0.5063 0.3142 0.6204
N 0.5247 0.1015 0.8360
N 0.5247 0.3985 0.3360
N 0.5276 0.1089 0.4103
N 0.5276 0.3911 0.9103
N 0.7124 0.6405 0.2085
N 0.7124 0.8595 0.7085
N 0.7138 0.6383 0.5459
N 0.7138 0.8617 0.0459
N 0.8146 0.1674 0.6283
N 0.8146 0.3326 0.1283
N 0.8391 0.1620 0.1213
N 0.8391 0.3380 0.6213
N 0.8429 0.5201 0.8682
N 0.8429 0.9799 0.3682
N 0.8631 0.5291 0.3755
N 0.8631 0.9709 0.8755
N 0.9445 0.7348 0.8773
N 0.9445 0.7652 0.3773

Summary:
- E_form (uncorrected) (eV/atom) = -1.40
- SG = P2_1/c (14)
- raw total energy (eV/atom) = -8.37

***

Crystalline RbBI at its relaxed geometry. Source: the Alexandria database, functional PBE.

Cell lengths 8.2431, 8.2431, 6.5489 Å; angles 97.22, 97.22, 24.59 degrees
Fractional coordinates of all 6 atoms:
Rb 0.1056 0.1056 0.2712
Rb 0.8944 0.8944 0.7288
B 0.2593 0.2593 0.0102
B 0.7407 0.7407 0.9898
I 0.3981 0.3981 0.2366
I 0.6019 0.6019 0.7634

Summary:
- E_form (uncorrected) (eV/atom) = -0.13
- SG = C2/m (12)
- raw total energy (eV/atom) = -3.19
- D(E_F) (states/eV per atom) = 0.11

***

Crystalline KSr2SiAu at its relaxed geometry. Source: the Alexandria database, functional PBE.

Cell lengths 6.3623, 6.3623, 5.1769 Å; angles 90.00, 90.00, 90.00 degrees
Fractional coordinates of all 5 atoms:
K 0.0000 0.0000 0.0000
Sr 0.0000 0.5000 0.0000
Sr 0.5000 0.0000 0.0000
Si 0.5000 0.5000 0.5000
Au 0.0000 0.0000 0.5000

Summary:
- E_form (uncorrected) (eV/atom) = 0.88
- SG = P4/mmm (123)
- raw total energy (eV/atom) = -1.76
- D(E_F) (states/eV per atom) = 0.72